(1)
Here is an optimized crystal structure of MgIn3 from Alexandria. Energies are from GGA-PBEsol.

Properties
Its symmetry is Pm-3m (221).

CIF file:
```
data_MgIn3
_chemical_formula_sum 'Mg1 In3'
_cell_length_a 4.566
_cell_length_b 4.566
_cell_length_c 4.566
_cell_angle_alpha 90.00
_cell_angle_beta 90.00
_cell_angle_gamma 90.00
_space_group_name_H-M_alt 'P 1'
_space_group_IT_number 1
loop_
_space_group_symop_operation_xyz
'x,y,z'
loop_
_atom_site_label
_atom_site_fract_x
_atom_site_fract_y
_atom_site_fract_z
_atom_site_occupancy
Mg1 0.000 0.000 0.000 1
In1 0.500 0.000 0.500 1
In2 0.500 0.500 0.000 1
In3 0.000 0.500 0.500 1
```

=====

(2)
Here is an optimized crystal structure of ZrIn2Ru2 from Alexandria. Energies are from GGA-PBEsol.

Properties
Its symmetry is I4/mmm (139).

CIF file:
```
data_ZrIn2Ru2
_chemical_formula_sum 'Zr1 In2 Ru2'
_cell_length_a 3.840
_cell_length_b 3.840
_cell_length_c 6.977
_cell_angle_alpha 105.97
_cell_angle_beta 105.97
_cell_angle_gamma 90.00
_space_group_name_H-M_alt 'P 1'
_space_group_IT_number 1
loop_
_space_group_symop_operation_xyz
'x,y,z'
loop_
_atom_site_label
_atom_site_fract_x
_atom_site_fract_y
_atom_site_fract_z
_atom_site_occupancy
In1 0.750 0.250 0.500 1
In2 0.250 0.750 0.500 1
Zr1 0.000 0.000 0.000 1
Ru1 0.595 0.595 0.190 1
Ru2 0.405 0.405 0.810 1
```

=====

(3)
Here is an optimized crystal structure of TmAsPd from Alexandria. Energies are from GGA-PBEsol.

Properties
Its symmetry is Pnma (62).

CIF file:
```
data_TmAsPd
_chemical_formula_sum 'Tm4 As4 Pd4'
_cell_length_a 4.045
_cell_length_b 6.863
_cell_length_c 7.793
_cell_angle_alpha 90.00
_cell_angle_beta 90.00
_cell_angle_gamma 90.00
_space_group_name_H-M_alt 'P 1'
_space_group_IT_number 1
loop_
_space_group_symop_operation_xyz
'x,y,z'
loop_
_atom_site_label
_atom_site_fract_x
_atom_site_fract_y
_atom_site_fract_z
_atom_site_occupancy
Pd1 0.750 0.359 0.938 1
Pd2 0.250 0.641 0.062 1
Pd3 0.250 0.141 0.438 1
Pd4 0.750 0.859 0.562 1
Tm1 0.750 0.469 0.310 1
Tm2 0.250 0.031 0.810 1
Tm3 0.250 0.531 0.690 1
Tm4 0.750 0.969 0.190 1
As1 0.750 0.252 0.622 1
As2 0.250 0.748 0.378 1
As3 0.250 0.248 0.122 1
As4 0.750 0.752 0.878 1
```

=====

(4)
Here is an optimized crystal structure of NiRu2 from Alexandria. Energies are from GGA-PBEsol.

Properties
Its symmetry is Immm (71). The calculation puts the energy above the most stable polymorph in this dataset at 0 meV per atom.

CIF file:
```
data_NiRu2
_chemical_formula_sum 'Ni1 Ru2'
_cell_length_a 2.646
_cell_length_b 3.628
_cell_length_c 4.479
_cell_angle_alpha 113.89
_cell_angle_beta 107.18
_cell_angle_gamma 90.00
_space_group_name_H-M_alt 'P 1'
_space_group_IT_number 1
loop_
_space_group_symop_operation_xyz
'x,y,z'
loop_
_atom_site_label
_atom_site_fract_x
_atom_site_fract_y
_atom_site_fract_z
_atom_site_occupancy
Ru1 0.333 0.333 0.666 1
Ru2 0.667 0.667 0.334 1
Ni1 0.000 0.000 0.000 1
```

=====

Number 1: calculated formation energy -6.5 kJ/mol of atoms. Number 2: calculated formation energy 21.3 kJ/mol of atoms. Number 3: calculated formation energy -119.1 kJ/mol of atoms. Number 4: calculated formation energy 6.5 kJ/mol of atoms.